Below is an optimized crystal structure of Pr3Pd5, with properties calculated at the PBE-GGA level.

Energy of formation from the pure elements ... -787 meV/atom
SG ... Cmcm
Mass density ... 9.016 g/cm³
Calculated total energy ... -93.2 eV per cell

Unit cell a=5.998 b=5.998 c=10.085 alpha=90.00 beta=90.00 gamma=104.20
Fractional positions:
Pr 0.201 0.799 0.000
Pr 0.799 0.201 0.000
Pr 0.799 0.201 0.500
Pr 0.201 0.799 0.500
Pr 0.631 0.631 0.750
Pr 0.369 0.369 0.250
Pd 0.507 0.070 0.750
Pd 0.493 0.930 0.250
Pd 0.070 0.507 0.750
Pd 0.930 0.493 0.250
Pd 0.037 0.037 0.750
Pd 0.963 0.963 0.250
Pd 0.319 0.319 0.948
Pd 0.681 0.681 0.052
Pd 0.681 0.681 0.448
Pd 0.319 0.319 0.552